A relaxed structure of Hf2TiNi. Source: the Alexandria database, functional GGA-PBE.

Its energy is -8.461 eV per atom. Its density is 10.86 g/cm3. The calculation puts the density of states at the Fermi level at 1.812 states/eV per atom. The space group is P4/mmm. The energy of formation is -0.06 eV per atom. As for the magnetic moment: 0.9 μB per formula unit.

```
4
Lattice="4.686 0.000 0.000 0.000 4.686 0.000 0.000 0.000 3.226" Properties=species:S:1:pos:R:3 pbc="T T T"
Hf 0.000 2.343 0.000
Hf 2.343 0.000 0.000
Ti 0.000 0.000 1.613
Ni 2.343 2.343 1.613
```

***

A relaxed structure of Hf2TiNi. Source: the Alexandria database, functional GGA-PBE.

Its energy is -8.420 eV per atom. Its density is 10.86 g/cm3. The calculation puts the density of states at the Fermi level at 0.833 states/eV per atom. The space group is Fm-3m. The energy of formation is -0.02 eV per atom. As for the magnetic moment: 2.0 μB per formula unit.

```
4
Lattice="0.000 3.285 3.285 3.285 0.000 3.285 3.285 3.285 0.000" Properties=species:S:1:pos:R:3 pbc="T T T"
Hf 1.642 1.642 1.642
Hf 4.927 4.927 4.927
Ti 0.000 0.000 0.000
Ni 3.285 3.285 3.285
```

***

A relaxed structure of HfTiNi3. Source: the Alexandria database, functional GGA-PBE.

Its energy is -6.088 eV per atom. Its density is 7.34 g/cm3. The calculation puts the density of states at the Fermi level at 1.636 states/eV per atom. The space group is Pm-3m. The energy of formation is 0.95 eV per atom. As for the magnetic moment: 0.0 μB per formula unit.

```
5
Lattice="4.499 0.000 0.000 0.000 4.499 0.000 0.000 0.000 4.499" Properties=species:S:1:pos:R:3 pbc="T T T"
Hf 0.000 0.000 0.000
Ti 2.249 2.249 2.249
Ni 0.000 0.000 2.249
Ni 0.000 2.249 0.000
Ni 2.249 0.000 0.000
```

***

A relaxed structure of HfTi5Ni. Source: the Alexandria database, functional GGA-PBE.

Its energy is -7.845 eV per atom. Its density is 6.38 g/cm3. The calculation puts the density of states at the Fermi level at 1.356 states/eV per atom. The space group is P4/mmm. The energy of formation is 0.04 eV per atom. As for the magnetic moment: 0.0 μB per formula unit.

```
7
Lattice="4.195 0.000 0.000 0.000 4.195 0.000 0.000 0.000 7.050" Properties=species:S:1:pos:R:3 pbc="T T T"
Hf 0.000 0.000 0.000
Ti 0.000 2.098 2.054
Ti 0.000 2.098 4.996
Ti 2.098 0.000 2.054
Ti 2.098 0.000 4.996
Ti 2.098 2.098 0.000
Ni 2.098 2.098 3.525
```

***

A relaxed structure of HfTi2Ni2. Source: the Alexandria database, functional GGA-PBE.

Its energy is -7.760 eV per atom. Its density is 8.43 g/cm3. The calculation puts the density of states at the Fermi level at 1.166 states/eV per atom. The space group is P4/mbm. The energy of formation is -0.30 eV per atom. As for the magnetic moment: 0.0 μB per formula unit.

```
10
Lattice="7.096 0.000 0.000 0.000 7.096 0.000 0.000 0.000 3.063" Properties=species:S:1:pos:R:3 pbc="T T T"
Hf 0.000 0.000 0.000
Hf 3.548 3.548 0.000
Ti 1.169 2.379 1.531
Ti 2.379 5.927 1.531
Ti 4.717 1.169 1.531
Ti 5.927 4.717 1.531
Ni 0.893 4.441 0.000
Ni 2.655 0.893 0.000
Ni 4.441 6.203 0.000
Ni 6.203 2.655 0.000
```

***

A relaxed structure of HfTiNi3. Source: the Alexandria database, functional GGA-PBE.

Its energy is -6.602 eV per atom. Its density is 8.33 g/cm3. The calculation puts the density of states at the Fermi level at 0.912 states/eV per atom. The space group is Pm-3m. The energy of formation is 0.44 eV per atom. As for the magnetic moment: 0.0 μB per formula unit.

```
5
Lattice="4.313 0.000 0.000 0.000 4.313 0.000 0.000 0.000 4.313" Properties=species:S:1:pos:R:3 pbc="T T T"
Hf 0.000 0.000 0.000
Ti 2.156 2.156 2.156
Ni 0.000 2.156 2.156
Ni 2.156 0.000 2.156
Ni 2.156 2.156 0.000
```

***

A relaxed structure of Hf2TiNi. Source: the Alexandria database, functional GGA-PBE.

Its energy is -8.403 eV per atom. Its density is 10.45 g/cm3. The calculation puts the density of states at the Fermi level at 1.009 states/eV per atom. The space group is R3m. The energy of formation is -0.01 eV per atom. As for the magnetic moment: 0.0 μB per formula unit.

```
4
Lattice="1.553 0.897 8.808 -1.553 0.897 8.808 0.000 -1.794 8.808" Properties=species:S:1:pos:R:3 pbc="T T T"
Hf 0.000 0.000 0.000
Hf 0.000 0.000 4.759
Ti 0.000 0.000 11.176
Ni 0.000 0.000 15.617
```

***

A relaxed structure of HfTiNi5. Source: the Alexandria database, functional GGA-PBE.

Its energy is -6.917 eV per atom. Its density is 9.03 g/cm3. The calculation puts the density of states at the Fermi level at 0.544 states/eV per atom. The space group is P4/mmm. The energy of formation is -0.24 eV per atom. As for the magnetic moment: 0.0 μB per formula unit.

```
7
Lattice="3.645 0.000 0.000 0.000 3.645 0.000 0.000 0.000 7.197" Properties=species:S:1:pos:R:3 pbc="T T T"
Hf 0.000 0.000 0.000
Ti 1.822 1.822 3.599
Ni 0.000 1.822 1.926
Ni 0.000 1.822 5.272
Ni 1.822 0.000 1.926
Ni 1.822 0.000 5.272
Ni 1.822 1.822 0.000
```

***

A relaxed structure of HfTi4Ni. Source: the Alexandria database, functional GGA-PBE.

Its energy is -7.991 eV per atom. Its density is 7.04 g/cm3. The calculation puts the density of states at the Fermi level at 1.139 states/eV per atom. The space group is P2/m. The energy of formation is -0.10 eV per atom. As for the magnetic moment: 0.0 μB per formula unit.

```
6
Lattice="3.008 0.000 0.000 0.000 3.007 0.000 -0.011 0.000 11.176" Properties=species:S:1:pos:R:3 pbc="T T T"
Hf 0.000 0.000 0.000
Ti 3.004 0.000 4.053
Ti -0.007 0.000 7.123
Ti 1.499 1.504 2.188
Ti 1.498 1.504 8.988
Ni 1.499 1.504 5.588
```

***

A relaxed structure of HfTiNi4. Source: the Alexandria database, functional GGA-PBE.

Its energy is -7.231 eV per atom. Its density is 9.54 g/cm3. The calculation puts the density of states at the Fermi level at 0.871 states/eV per atom. The space group is P-1. The energy of formation is -0.40 eV per atom. As for the magnetic moment: 0.0 μB per formula unit.

```
6
Lattice="4.461 0.000 0.000 0.263 4.469 0.000 0.129 2.228 4.024" Properties=species:S:1:pos:R:3 pbc="T T T"
Hf 0.000 0.000 0.000
Ti 2.362 2.234 0.000
Ni 4.591 2.232 1.315
Ni 0.263 4.464 2.710
Ni 2.361 2.231 2.656
Ni 2.493 4.466 1.368
```

***

A relaxed structure of Hf2TiNi. Source: the Alexandria database, functional GGA-PBE.

Its energy is -8.224 eV per atom. Its density is 10.06 g/cm3. The calculation puts the density of states at the Fermi level at 1.181 states/eV per atom. The space group is I-42d. The energy of formation is 0.17 eV per atom. As for the magnetic moment: 0.0 μB per formula unit.

```
8
Lattice="-3.675 3.675 2.834 3.675 -3.675 2.834 3.675 3.675 -2.834" Properties=species:S:1:pos:R:3 pbc="T T T"
Hf 5.512 1.475 -0.709
Hf 1.475 1.837 0.709
Hf -1.837 2.200 2.126
Hf 2.200 1.837 3.543
Ti 3.675 0.000 1.417
Ti 0.000 0.000 2.834
Ni 0.000 0.000 0.000
Ni 0.000 3.675 1.417
```

***

A relaxed structure of HfTiNi3. Source: the Alexandria database, functional GGA-PBE.

Its energy is -7.378 eV per atom. Its density is 9.43 g/cm3. The calculation puts the density of states at the Fermi level at 0.953 states/eV per atom. The space group is P2_1/m. The energy of formation is -0.34 eV per atom. As for the magnetic moment: 0.0 μB per formula unit.

```
10
Lattice="4.681 0.000 0.000 0.000 5.069 0.000 -0.060 0.000 5.977" Properties=species:S:1:pos:R:3 pbc="T T T"
Hf 0.712 1.267 2.245
Hf 3.908 3.802 3.732
Ti 0.458 3.802 0.632
Ti 4.162 1.267 5.345
Ni 1.556 3.802 2.769
Ni 1.619 0.028 4.885
Ni 1.619 2.507 4.885
Ni 3.002 2.562 1.092
Ni 3.002 5.041 1.092
Ni 3.065 1.267 3.208
```

***

magnetic moment of number 11 (Hf2TiNi)? 0.0 μB per formula unit

***

What is the magnetic moment in the second record? 2.0 μB per formula unit

***

Which formula does entry 1 have? Hf2TiNi